(1)
LiScOs: relaxed, PBE-GGA.

```
LiScOs
1.0
4.493 0.000 0.000
-2.246 3.891 0.000
0.000 0.000 2.701
Li Sc Os
1 1 1
Cartesian
0.000 0.000 0.000
0.000 2.594 1.858
2.246 1.297 0.688
```

VASP energy: -19.5 eV per cell
SG: No. 156
Distance to the lowest polymorph of the same formula: 0.00 eV/f.u.
Energy relative to the elements: -0.013 eV/atom

---

(2)
LiSmScOs: relaxed, PBE-GGA.

```
LiSmScOs
1.0
6.801 0.000 0.000
0.000 6.801 0.000
0.000 0.000 6.801
Li Sm Sc Os
4 4 4 4
Cartesian
0.000 0.000 0.000
0.000 3.401 3.401
3.401 0.000 3.401
3.401 3.401 0.000
1.700 1.700 5.101
1.700 5.101 1.700
5.101 1.700 1.700
5.101 5.101 5.101
1.700 1.700 1.700
1.700 5.101 5.101
5.101 1.700 5.101
5.101 5.101 1.700
0.000 0.000 3.401
0.000 3.401 0.000
3.401 0.000 0.000
3.401 3.401 3.401
```

VASP energy: -99.9 eV per cell
SG: No. 216
Energy relative to the elements: -0.195 eV/atom